[1]
The following is a GGA-PBE calculation of a geometry-optimized CuMoS4N structure, from the Alexandria database.

Cell: 6.4183 6.4183 6.4183 Å, 100.41 100.41 129.68°
Closest atoms and distances in Å follow each position.
Fractional positions:
Cu (0.0000, 0.0000, 0.0000)  4 S 2.28
Mo (0.5000, 0.5000, 0.0000)  4 S 2.22
S (0.0691, 0.1554, 0.7048)  1 Mo 2.22, 1 Cu 2.28
S (0.4505, 0.3643, 0.2952)  1 Mo 2.22, 1 Cu 2.28
S (0.6357, 0.9309, 0.0863)  1 Mo 2.22, 1 Cu 2.28
S (0.8446, 0.5495, 0.9137)  1 Mo 2.22, 1 Cu 2.28
N (0.2500, 0.7500, 0.5000)  12 S 3.61-3.86

Its space group is No. 82. For the density of states at the Fermi level, the calculation gives 5.0 states/eV/cell.

***

[2]
The following is a GGA-PBE calculation of a geometry-optimized ScCuMo2N structure, from the Alexandria database.

Cell: 4.5938 4.5938 4.5289 Å, 90.00 90.00 90.00°
Closest atoms and distances in Å follow each position.
Fractional positions:
Sc (0.0000, 0.0000, 0.0000)  2 Cu 2.26, 4 Mo 2.30
Cu (0.0000, 0.0000, 0.5000)  2 Sc 2.26
Mo (0.0000, 0.5000, 0.0000)  2 Sc 2.30
Mo (0.5000, 0.0000, 0.0000)  2 Sc 2.30
N (0.5000, 0.5000, 0.5000)  8 Mo 3.23, 4 Cu 3.25

Its space group is No. 123. For the density of states at the Fermi level, the calculation gives 5.2 states/eV/cell.

***

no.,electronic total energy (eV per atom),ΔE_f (raw) (eV per formula unit)
1,-5.17,3.581
2,-5.22,14.318